Entry 1:
Density functional theory data (GGA-PBE) for a relaxed structure of Ce3Pm4Te8.

```
15
Lattice="6.312 -6.317 0.000 6.312 6.317 0.000 -6.284 0.000 6.314" Properties=species:S:1:pos:R:3 pbc="T T T"
Ce 0.000 0.000 0.000
Ce 3.156 3.159 0.000
Ce 3.156 -3.159 0.000
Pm 0.014 3.159 3.157
Pm 0.014 -3.159 3.157
Pm 6.312 0.000 0.000
Pm 3.170 0.000 3.157
Te -0.047 0.000 3.163
Te 3.170 3.213 3.157
Te -3.118 0.000 6.261
Te 6.312 3.149 0.000
Te 6.312 -3.149 0.000
Te 9.459 0.000 0.053
Te 3.170 -3.213 3.157
Te 6.388 0.000 3.151
```

Output
E_form (uncorrected) in eV/atom: -1.428
DOS at the Fermi energy in states/eV per atom: 1.613

---

Entry 2:
Density functional theory data (GGA-PBE) for a relaxed structure of Er4BiPb2.

```
14
Lattice="6.185 0.000 0.000 0.000 6.581 0.000 -1.596 0.000 10.151" Properties=species:S:1:pos:R:3 pbc="T T T"
Er -0.072 1.645 1.730
Er 0.109 4.936 4.584
Er 1.477 0.021 7.422
Er 1.477 3.269 7.422
Er 3.113 3.312 2.729
Er 3.113 6.560 2.729
Er 4.481 1.645 5.566
Er 4.662 4.936 8.421
Bi 0.052 4.936 1.554
Bi 4.537 1.645 8.597
Pb 1.225 1.645 4.669
Pb 3.035 1.645 0.072
Pb 1.555 4.936 10.079
Pb 3.364 4.936 5.481
```

Output
Energy above the most stable polymorph in this dataset in meV/atom: 127
DOS at the Fermi energy in states/eV per atom: 0.390

---

Entry 3:
Density functional theory data (GGA-PBE) for a relaxed structure of Mn3RhI9.

```
26
Lattice="9.590 -5.029 0.000 9.590 5.029 0.000 -8.746 0.000 11.087" Properties=species:S:1:pos:R:3 pbc="T T T"
Mn 5.217 4.654 5.543
Mn 1.963 0.760 5.984
Mn 6.336 -0.760 0.441
Mn 8.172 1.078 4.562
Mn 3.799 -1.078 10.106
Mn 9.590 -4.654 0.000
Rh 12.111 2.191 2.526
Rh 7.738 -2.191 8.069
I -0.452 2.062 5.819
I 3.745 2.709 6.724
I 9.791 3.429 1.842
I 7.700 3.622 5.420
I -1.169 0.572 9.491
I 6.471 1.053 2.453
I 3.203 -0.572 3.948
I 3.920 -2.062 0.276
I 2.098 -1.053 7.996
I 11.272 0.040 1.126
I 6.899 -0.040 6.669
I 10.879 1.082 4.670
I 8.118 -2.709 1.181
I 14.392 0.838 3.182
I 6.506 -1.082 10.213
I 5.418 -3.429 7.386
I 10.019 -0.838 8.725
I 3.327 -3.622 10.964
```

Output
E_form (uncorrected) in eV/atom: -0.274

---

Entry 4:
Density functional theory data (GGA-PBE) for a relaxed structure of ErGa2Pb.

```
4
Lattice="4.542 0.000 0.000 0.000 4.542 0.000 0.000 0.000 4.348" Properties=species:S:1:pos:R:3 pbc="T T T"
Er 0.000 0.000 0.000
Ga 0.000 2.271 2.174
Ga 2.271 0.000 2.174
Pb 2.271 2.271 0.000
```

Output
Energy above the most stable polymorph in this dataset in meV/atom: 0
DOS at the Fermi energy in states/eV per atom: 0.490